[1]
Computed, not measured: a crystal of Fe4Co3 relaxed with PBEsol at the meta-GGA SCAN level of DFT.

Structure (POSCAR):
```
Fe4Co3
1.0
2.417 0.000 0.000
-0.816 2.275 0.000
-0.801 -1.138 13.802
Co Fe
3 4
Direct
0.001 0.001 0.001 Co
0.572 0.572 0.143 Co
0.714 0.714 0.427 Co
0.430 0.430 0.859 Fe
0.285 0.285 0.570 Fe
0.857 0.857 0.714 Fe
0.142 0.142 0.285 Fe
```

[2]
Computed, not measured: a crystal of Fe2Co5 relaxed with PBEsol at the meta-GGA SCAN level of DFT.

Structure (POSCAR):
```
Fe2Co5
1.0
-1.065 2.471 -0.701
-1.600 -3.107 -3.011
-4.386 -0.656 4.350
Fe Co
2 5
Direct
0.431 0.861 0.783 Fe
0.569 0.139 0.217 Fe
0.719 0.438 0.647 Co
0.859 0.719 0.066 Co
0.141 0.281 0.934 Co
0.000 0.000 0.500 Co
0.281 0.562 0.353 Co
```

[3]
Computed, not measured: a crystal of Fe5Co3 relaxed with PBEsol at the meta-GGA SCAN level of DFT.

Structure (POSCAR):
```
Fe5Co3
1.0
-4.167 -0.865 -1.846
2.345 -0.474 -3.972
2.146 -3.512 2.148
Co Fe
3 5
Direct
0.500 0.000 0.000 Co
0.125 0.252 0.127 Co
0.875 0.748 0.873 Co
0.249 0.501 0.751 Fe
0.751 0.499 0.249 Fe
0.000 0.000 0.500 Fe
0.626 0.250 0.627 Fe
0.374 0.750 0.373 Fe
```

[4]
Computed, not measured: a crystal of Fe5Co2 relaxed with PBEsol at the meta-GGA SCAN level of DFT.

Structure (POSCAR):
```
Fe5Co2
1.0
-1.419 3.425 1.399
-3.898 0.707 -0.072
-2.286 -0.933 5.578
Fe Co
5 2
Direct
0.928 0.928 0.215 Fe
0.357 0.357 0.930 Fe
0.643 0.643 0.070 Fe
0.072 0.072 0.785 Fe
0.500 0.500 0.500 Fe
0.786 0.786 0.642 Co
0.214 0.214 0.358 Co
```

[5]
Computed, not measured: a crystal of Fe7Co relaxed with PBEsol at the meta-GGA SCAN level of DFT.

Structure (POSCAR):
```
Fe7Co
1.0
3.950 0.000 0.000
-1.975 4.197 0.002
0.000 -1.850 5.253
Fe Co
7 1
Direct
0.000 0.000 0.500 Fe
0.751 0.502 0.626 Fe
0.751 0.501 0.125 Fe
0.501 0.001 0.750 Fe
0.499 0.999 0.250 Fe
0.249 0.499 0.875 Fe
0.249 0.498 0.374 Fe
0.000 0.000 0.000 Co
```

[6]
Computed, not measured: a crystal of Fe4Co3 relaxed with PBEsol at the meta-GGA SCAN level of DFT.

Structure (POSCAR):
```
Fe4Co3
1.0
2.788 0.000 0.000
0.000 2.788 0.000
-1.394 -1.394 9.815
Co Fe
3 4
Direct
0.714 0.714 0.427 Co
0.573 0.573 0.146 Co
0.999 0.999 0.999 Co
0.142 0.142 0.284 Fe
0.285 0.285 0.570 Fe
0.857 0.857 0.714 Fe
0.430 0.430 0.859 Fe
```

[7]
Computed, not measured: a crystal of FeCo7 relaxed with PBEsol at the meta-GGA SCAN level of DFT.

Structure (POSCAR):
```
FeCo7
1.0
-3.031 -1.116 -2.295
2.133 -3.065 -1.327
-1.459 -0.974 5.822
Co Fe
7 1
Direct
0.375 0.875 0.751 Co
0.748 0.748 0.495 Co
0.500 0.500 0.000 Co
0.125 0.625 0.249 Co
0.625 0.125 0.249 Co
0.875 0.375 0.751 Co
0.252 0.252 0.505 Co
0.000 0.000 0.000 Fe
```

[8]
Computed, not measured: a crystal of Fe4Co3 relaxed with PBEsol at the meta-GGA SCAN level of DFT.

Structure (POSCAR):
```
Fe4Co3
1.0
-2.290 0.039 0.801
-1.047 -2.772 -5.305
2.388 -3.269 4.532
Fe Co
4 3
Direct
0.569 0.000 0.000 Fe
0.144 0.429 0.287 Fe
0.715 0.858 0.571 Fe
0.857 0.713 0.142 Fe
0.000 0.572 0.714 Co
0.287 0.286 0.858 Co
0.429 0.142 0.428 Co
```

[9]
Computed, not measured: a crystal of Fe2Co3 relaxed with PBEsol at the meta-GGA SCAN level of DFT.

Structure (POSCAR):
```
Fe2Co3
1.0
-0.968 2.167 1.399
-2.189 0.100 -1.669
-1.938 -5.513 4.484
Co Fe
3 2
Direct
0.500 0.500 0.000 Co
0.101 0.101 0.201 Co
0.899 0.899 0.799 Co
0.301 0.301 0.602 Fe
0.699 0.699 0.398 Fe
```

[10]
Computed, not measured: a crystal of Fe7Co relaxed with PBEsol at the meta-GGA SCAN level of DFT.

Structure (POSCAR):
```
Fe7Co
1.0
-0.086 -3.600 -1.630
0.349 -1.631 3.584
-5.694 2.522 -0.477
Fe Co
7 1
Direct
0.251 0.251 0.501 Fe
0.375 0.875 0.751 Fe
0.125 0.625 0.249 Fe
0.625 0.125 0.249 Fe
0.875 0.375 0.751 Fe
0.500 0.500 0.000 Fe
0.749 0.749 0.499 Fe
0.000 0.000 0.000 Co
```

[11]
Computed, not measured: a crystal of Fe7Co relaxed with PBEsol at the meta-GGA SCAN level of DFT.

Structure (POSCAR):
```
Fe7Co
1.0
2.784 0.000 0.000
0.000 3.948 0.000
0.000 0.000 7.919
Fe Co
7 1
Direct
0.500 0.500 0.500 Fe
0.500 0.000 0.751 Fe
0.000 0.000 0.500 Fe
0.000 0.500 0.250 Fe
0.500 0.000 0.249 Fe
0.000 0.500 0.750 Fe
0.500 0.500 0.000 Fe
0.000 0.000 0.000 Co
```

[12]
Computed, not measured: a crystal of FeCo6 relaxed with PBEsol at the meta-GGA SCAN level of DFT.

Structure (POSCAR):
```
FeCo6
1.0
2.823 0.000 0.000
0.000 2.823 0.000
-1.412 -1.412 9.331
Co Fe
6 1
Direct
0.572 0.572 0.145 Co
0.715 0.715 0.430 Co
0.285 0.285 0.570 Co
0.147 0.147 0.293 Co
0.428 0.428 0.855 Co
0.853 0.853 0.707 Co
0.000 0.000 0.000 Fe
```

[13]
Computed, not measured: a crystal of FeCo7 relaxed with PBEsol at the meta-GGA SCAN level of DFT.

Structure (POSCAR):
```
FeCo7
1.0
4.800 0.000 0.000
-1.600 4.525 0.000
-1.600 -2.263 3.919
Co Fe
7 1
Direct
0.500 0.000 0.000 Co
0.000 0.000 0.500 Co
0.000 0.500 0.500 Co
0.500 0.500 0.000 Co
0.500 0.000 0.500 Co
0.500 0.500 0.500 Co
0.000 0.500 0.000 Co
0.000 0.000 0.000 Fe
```

[14]
Computed, not measured: a crystal of Fe5Co3 relaxed with PBEsol at the meta-GGA SCAN level of DFT.

Structure (POSCAR):
```
Fe5Co3
1.0
-0.020 3.921 0.485
-1.276 2.344 -2.913
-6.432 1.764 1.559
Fe Co
5 3
Direct
0.374 0.374 0.877 Fe
0.500 0.500 0.499 Fe
0.250 0.250 0.249 Fe
0.125 0.125 0.626 Fe
0.750 0.750 0.749 Fe
0.624 0.624 0.128 Co
0.875 0.875 0.374 Co
0.001 0.001 0.997 Co
```

[15]
Computed, not measured: a crystal of Fe7Co relaxed with PBEsol at the meta-GGA SCAN level of DFT.

Structure (POSCAR):
```
Fe7Co
1.0
-0.335 2.372 -1.428
-5.488 -0.162 1.020
3.529 3.016 4.183
Co Fe
1 7
Direct
0.000 0.000 0.000 Co
0.000 0.249 0.499 Fe
0.000 0.751 0.501 Fe
0.500 0.625 0.751 Fe
0.500 0.375 0.249 Fe
0.000 0.500 0.000 Fe
0.500 0.875 0.249 Fe
0.500 0.125 0.751 Fe
```

[16]
Computed, not measured: a crystal of FeCo6 relaxed with PBEsol at the meta-GGA SCAN level of DFT.

Structure (POSCAR):
```
FeCo6
1.0
-0.535 -0.865 -2.180
5.990 -0.444 -0.409
-2.949 -4.125 3.245
Co Fe
6 1
Direct
0.608 0.852 0.572 Co
0.244 0.280 0.852 Co
0.756 0.720 0.148 Co
0.964 0.572 0.720 Co
0.392 0.148 0.428 Co
0.036 0.428 0.280 Co
0.500 0.000 0.000 Fe
```

[17]
Computed, not measured: a crystal of Fe4Co3 relaxed with PBEsol at the meta-GGA SCAN level of DFT.

Structure (POSCAR):
```
Fe4Co3
1.0
3.940 0.000 0.000
-1.970 4.187 -0.003
0.000 -0.415 4.634
Fe Co
4 3
Direct
0.857 0.715 0.426 Fe
0.429 0.858 0.717 Fe
0.571 0.142 0.283 Fe
0.143 0.285 0.574 Fe
0.713 0.425 0.854 Co
0.287 0.575 0.146 Co
0.000 0.000 0.000 Co
```

[18]
Computed, not measured: a crystal of Fe2Co3 relaxed with PBEsol at the meta-GGA SCAN level of DFT.

Structure (POSCAR):
```
Fe2Co3
1.0
3.936 0.000 0.000
1.968 3.409 0.000
1.968 1.136 4.029
Co Fe
3 2
Direct
0.796 0.796 0.611 Co
0.000 0.000 0.000 Co
0.204 0.204 0.389 Co
0.599 0.599 0.204 Fe
0.401 0.401 0.796 Fe
```

[19]
Computed, not measured: a crystal of Fe5Co3 relaxed with PBEsol at the meta-GGA SCAN level of DFT.

Structure (POSCAR):
```
Fe5Co3
1.0
-1.162 1.877 -3.263
-0.805 -3.460 -1.704
-4.276 1.026 4.491
Co Fe
3 5
Direct
0.001 0.501 0.001 Co
0.872 0.872 0.744 Co
0.501 0.001 0.001 Co
0.751 0.251 0.503 Fe
0.251 0.751 0.503 Fe
0.623 0.623 0.247 Fe
0.124 0.124 0.248 Fe
0.377 0.377 0.753 Fe
```

[20]
Computed, not measured: a crystal of FeCo7 relaxed with PBEsol at the meta-GGA SCAN level of DFT.

Structure (POSCAR):
```
FeCo7
1.0
4.903 0.000 0.000
2.451 4.246 0.000
2.451 1.415 4.003
Fe Co
1 7
Direct
0.000 0.000 0.000 Fe
0.000 0.500 0.500 Co
0.000 0.000 0.500 Co
0.500 0.000 0.000 Co
0.500 0.500 0.000 Co
0.500 0.500 0.500 Co
0.500 0.000 0.500 Co
0.000 0.500 0.000 Co
```

Number 1: size of the total moment 12.7 μB per cell, formation energy from the elements 0.00 eV/atom, D(E_F) 4.2 states/eV/f.u.. Number 2: size of the total moment 14.8 μB per cell, formation energy from the elements -0.12 eV/atom, D(E_F) 4.8 states/eV/f.u.. Number 3: size of the total moment 18.9 μB per cell, formation energy from the elements -0.15 eV/atom, D(E_F) 3.2 states/eV/f.u.. Number 4: size of the total moment 16.8 μB per cell, formation energy from the elements -0.16 eV/atom, D(E_F) 2.3 states/eV/f.u.. Number 5: size of the total moment 19.6 μB per cell, formation energy from the elements -0.07 eV/atom, D(E_F) 5.1 states/eV/f.u.. Number 6: size of the total moment 16.2 μB per cell, formation energy from the elements -0.15 eV/atom, D(E_F) 3.9 states/eV/f.u.. Number 7: size of the total moment 15.9 μB per cell, formation energy from the elements -0.05 eV/atom, D(E_F) 6.1 states/eV/f.u.. Number 8: size of the total moment 16.4 μB per cell, formation energy from the elements -0.13 eV/atom, D(E_F) 3.0 states/eV/f.u.. Number 9: size of the total moment 11.0 μB per cell, formation energy from the elements -0.10 eV/atom, D(E_F) 2.6 states/eV/f.u.. Number 10: size of the total moment 19.6 μB per cell, formation energy from the elements -0.08 eV/atom, D(E_F) 4.6 states/eV/f.u.. Number 11: size of the total moment 19.5 μB per cell, formation energy from the elements -0.08 eV/atom, D(E_F) 5.1 states/eV/f.u.. Number 12: size of the total moment 13.9 μB per cell, formation energy from the elements -0.05 eV/atom, D(E_F) 5.9 states/eV/f.u.. Number 13: size of the total moment 16.2 μB per cell, formation energy from the elements -0.05 eV/atom, D(E_F) 6.0 states/eV/f.u.. Number 14: size of the total moment 18.8 μB per cell, formation energy from the elements -0.14 eV/atom, D(E_F) 2.9 states/eV/f.u.. Number 15: size of the total moment 19.6 μB per cell, formation energy from the elements -0.08 eV/atom, D(E_F) 4.9 states/eV/f.u.. Number 16: size of the total moment 13.9 μB per cell, formation energy from the elements -0.03 eV/atom, D(E_F) 5.9 states/eV/f.u.. Number 17: size of the total moment 16.4 μB per cell, formation energy from the elements -0.15 eV/atom, D(E_F) 2.9 states/eV/f.u.. Number 18: size of the total moment 11.0 μB per cell, formation energy from the elements -0.16 eV/atom, D(E_F) 2.4 states/eV/f.u.. Number 19: size of the total moment 18.9 μB per cell, formation energy from the elements -0.14 eV/atom, D(E_F) 2.8 states/eV/f.u.. Number 20: size of the total moment 15.2 μB per cell, formation energy from the elements -0.02 eV/atom, D(E_F) 4.7 states/eV/f.u..